Computed, not measured: La2Sm3Dy4 after structural relaxation at the PBE level of DFT.

Results
Energy relative to the lowest polymorph listed for this composition = 0.00 eV per formula unit

a b c (Å): 3.623 3.623 26.847
angles (deg): 90.00 90.00 120.00
Sites, in units of the cell vectors:
La1 0.000 0.000 0.000
La2 0.000 0.000 0.227
Sm1 0.000 0.000 0.782
Sm2 0.333 0.667 0.116
Sm3 0.333 0.667 0.461
Dy1 0.000 0.000 0.356
Dy2 0.000 0.000 0.570
Dy3 0.333 0.667 0.674
Dy4 0.333 0.667 0.889



Computed, not measured: Ca6Tl3F after structural relaxation at the PBE level of DFT.

Results
Formation energy (no corrections) = -0.764 eV per atom

a b c (Å): 9.201 9.201 8.065
angles (deg): 90.00 90.00 104.27
Sites, in units of the cell vectors:
Ca1 0.042 0.958 0.500
Ca2 0.093 0.575 0.476
Ca3 0.227 0.773 0.894
Ca4 0.318 0.348 0.925
Ca5 0.348 0.318 0.425
Ca6 0.425 0.907 0.476
Ca7 0.575 0.093 0.976
Ca8 0.652 0.682 0.925
Ca9 0.682 0.652 0.425
Ca10 0.773 0.227 0.394
Ca11 0.907 0.425 0.976
Ca12 0.958 0.042 0.000
Tl1 0.039 0.270 0.674
Tl2 0.270 0.039 0.174
Tl3 0.370 0.630 0.197
Tl4 0.630 0.370 0.697
Tl5 0.730 0.961 0.674
Tl6 0.961 0.730 0.174
F1 0.195 0.805 0.612
F2 0.805 0.195 0.112



Computed, not measured: Na2GeRh2 after structural relaxation at the PBE level of DFT.

Results
Electronic total energy = -45.97 eV per cell

a b c (Å): 6.235 6.235 4.912
angles (deg): 90.00 90.00 90.00
Sites, in units of the cell vectors:
Na1 0.169 0.331 0.000
Na2 0.331 0.831 0.000
Na3 0.669 0.169 0.000
Na4 0.831 0.669 0.000
Ge1 0.000 0.000 0.500
Ge2 0.500 0.500 0.500
Rh1 0.145 0.645 0.500
Rh2 0.355 0.145 0.500
Rh3 0.645 0.855 0.500
Rh4 0.855 0.355 0.500



Please write out number 2 again, unchanged.
Computed, not measured: Ca6Tl3F after structural relaxation at the PBE level of DFT.

Results
Formation energy (no corrections) = -0.764 eV per atom

a b c (Å): 9.201 9.201 8.065
angles (deg): 90.00 90.00 104.27
Sites, in units of the cell vectors:
Ca1 0.042 0.958 0.500
Ca2 0.093 0.575 0.476
Ca3 0.227 0.773 0.894
Ca4 0.318 0.348 0.925
Ca5 0.348 0.318 0.425
Ca6 0.425 0.907 0.476
Ca7 0.575 0.093 0.976
Ca8 0.652 0.682 0.925
Ca9 0.682 0.652 0.425
Ca10 0.773 0.227 0.394
Ca11 0.907 0.425 0.976
Ca12 0.958 0.042 0.000
Tl1 0.039 0.270 0.674
Tl2 0.270 0.039 0.174
Tl3 0.370 0.630 0.197
Tl4 0.630 0.370 0.697
Tl5 0.730 0.961 0.674
Tl6 0.961 0.730 0.174
F1 0.195 0.805 0.612
F2 0.805 0.195 0.112



Copy entry 3 word for word.
Computed, not measured: Na2GeRh2 after structural relaxation at the PBE level of DFT.

Results
Electronic total energy = -45.97 eV per cell

a b c (Å): 6.235 6.235 4.912
angles (deg): 90.00 90.00 90.00
Sites, in units of the cell vectors:
Na1 0.169 0.331 0.000
Na2 0.331 0.831 0.000
Na3 0.669 0.169 0.000
Na4 0.831 0.669 0.000
Ge1 0.000 0.000 0.500
Ge2 0.500 0.500 0.500
Rh1 0.145 0.645 0.500
Rh2 0.355 0.145 0.500
Rh3 0.645 0.855 0.500
Rh4 0.855 0.355 0.500